Material: NaYV2O8
Method: DFT, GGA+U
State: relaxed

Cell and atoms, written as POSCAR:
```
NaYV2O8
1.0
5.861 0.000 0.000
-2.930 5.075 0.000
0.000 0.000 6.839
Na Y V O
1 1 2 8
direct
0.000 0.000 0.000 Na
0.000 0.000 0.500 Y
0.333 0.667 0.206 V
0.667 0.333 0.794 V
0.170 0.340 0.287 O
0.170 0.830 0.287 O
0.333 0.667 0.956 O
0.340 0.170 0.713 O
0.660 0.830 0.287 O
0.667 0.333 0.044 O
0.830 0.170 0.713 O
0.830 0.660 0.713 O
```

Calculated values
- DFT total energy: -7.099 eV/atom
- Density of states at the Fermi level: 0.936 states/eV per atom